Below is a geometry-optimized Zr6BeN structure, with properties calculated at the GGA-PBE level.

a = 5.815 Å, b = 5.828 Å, c = 6.317 Å
α = 62.72°, β = 62.96°, γ = 60.16°
Atoms (fractional coordinates):
Zr: 0.060 0.409 0.258
Zr: 0.227 0.942 0.743
Zr: 0.408 0.773 0.259
Zr: 0.592 0.227 0.741
Zr: 0.773 0.058 0.257
Zr: 0.940 0.591 0.742
Be: 0.500 0.500 0.000
N: 0.000 0.000 0.500

space group	P-1 (2)
E_form (uncorrected)	-0.32	eV/atom